The following is a GGA-PBE calculation of a relaxed Na4Pm3TmS8 crystal, from Alexandria via LeMat-Bulk.

```
data_Na4Pm3TmS8
_chemical_formula_sum 'Na12 Pm9 Tm3 S24'
_space_group_name_H-M_alt 'R -3 m'
_space_group_IT_number 166
_space_group_name_Hall '-R 3 2"'
_cell_length_a 8.1182
_cell_length_b 8.1182
_cell_length_c 20.0769
_cell_angle_alpha 90.00
_cell_angle_beta 90.00
_cell_angle_gamma 120.00
loop_
_atom_site_label
_atom_site_type_symbol
_atom_site_fract_x
_atom_site_fract_y
_atom_site_fract_z
Na1 Na 0.0000 0.0000 0.0000
Na2 Na 0.0000 0.5000 0.0000
Pm1 Pm 0.0000 0.5000 0.5000
Tm1 Tm 0.0000 0.0000 0.5000
S1 S 0.0000 0.0000 0.2444
S2 S 0.0089 0.5045 0.2429
```

Calculated values
DOS(E_F): 0.00 states/eV/f.u.
Formation energy (no corrections): -29.1 eV/f.u.



The following is a GGA-PBE calculation of a relaxed NaPmUS4 crystal, from Alexandria via LeMat-Bulk.

```
data_NaPmUS4
_chemical_formula_sum 'Na4 Pm4 U4 S16'
_space_group_name_H-M_alt 'I m m a'
_space_group_IT_number 74
_space_group_name_Hall '-I 2b 2'
_cell_length_a 8.193
_cell_length_b 8.286
_cell_length_c 11.655
_cell_angle_alpha 90.00
_cell_angle_beta 90.00
_cell_angle_gamma 90.00
loop_
_atom_site_label
_atom_site_type_symbol
_atom_site_fract_x
_atom_site_fract_y
_atom_site_fract_z
Na1 Na 0.000 0.250 0.123
Pm1 Pm 0.000 0.000 0.500
U1 U 0.250 0.250 0.750
S1 S 0.000 0.033 0.742
S2 S 0.232 0.250 0.520
```

Calculated values
DOS(E_F): 4.58 states/eV/f.u.
Formation energy (no corrections): -11.2 eV/f.u.



The following is a GGA-PBE calculation of a relaxed Na3PmU3S8 crystal, from Alexandria via LeMat-Bulk.

```
data_Na3PmU3S8
_chemical_formula_sum 'Na9 Pm3 U9 S24'
_space_group_name_H-M_alt 'R -3 m'
_space_group_IT_number 166
_space_group_name_Hall '-R 3 2"'
_cell_length_a 8.0123
_cell_length_b 8.0123
_cell_length_c 20.1845
_cell_angle_alpha 90.00
_cell_angle_beta 90.00
_cell_angle_gamma 120.00
loop_
_atom_site_label
_atom_site_type_symbol
_atom_site_fract_x
_atom_site_fract_y
_atom_site_fract_z
Na1 Na 0.0000 0.5000 0.0000
Pm1 Pm 0.0000 0.0000 0.5000
U1 U 0.0000 0.5000 0.5000
S1 S 0.0000 0.0000 0.2428
S2 S 0.0082 0.5041 0.7583
```

Calculated values
DOS(E_F): 13.52 states/eV/f.u.
Formation energy (no corrections): -22.1 eV/f.u.



The following is a GGA-PBE calculation of a relaxed Na2PmUS4 crystal, from Alexandria via LeMat-Bulk.

```
data_Na2PmUS4
_chemical_formula_sum 'Na2 Pm1 U1 S4'
_space_group_name_H-M_alt 'P 1 2/m 1'
_space_group_IT_number 10
_space_group_name_Hall '-P 2y'
_cell_length_a 6.992
_cell_length_b 4.037
_cell_length_c 7.116
_cell_angle_alpha 90.00
_cell_angle_beta 109.13
_cell_angle_gamma 90.00
loop_
_atom_site_label
_atom_site_type_symbol
_atom_site_fract_x
_atom_site_fract_y
_atom_site_fract_z
Na1 Na 0.000 0.000 0.000
Na2 Na 0.500 0.500 0.000
Pm1 Pm 0.000 0.500 0.500
U1 U 0.500 0.000 0.500
S1 S 0.251 0.000 0.733
S2 S 0.263 0.500 0.270
```

Calculated values
DOS(E_F): 5.89 states/eV/f.u.
Formation energy (no corrections): -12.5 eV/f.u.



> DOS(E_F) of number 1 (Na4Pm3TmS8)?

0.00 states/eV/f.u.